(1)
DFT (PBE-GGA) results for a relaxed MnZnTe crystal.

a b c (Å): 7.8377 4.0823 8.2511
angles (deg): 90.00 93.65 90.00
Space group Cm (No. 8)
One atom of each set of equivalent atoms:
Mn 0.0000 0.0000 0.0000 [2 per cell]
Mn 0.1580 0.5000 0.2037 [2 per cell]
Zn 0.1900 0.5000 0.8769 [2 per cell]
Zn 0.3240 0.0000 0.0827 [2 per cell]
Te 0.3848 0.0000 0.7205 [2 per cell]
Te 0.4898 0.5000 0.3468 [2 per cell]

## Properties
**Size of the total moment**: 3.6 μB/f.u.
**ΔE_f (raw)**: 12 meV per atom
**Crystal system**: monoclinic
**E above lowest polymorph**: 112 meV/atom
**Uncorrected energy**: -4.52 eV per atom

(2)
DFT (PBE-GGA) results for a relaxed TcRu2Rh crystal.

a b c (Å): 8.9849 2.7021 4.7294
angles (deg): 90.00 99.90 90.00
Space group C2/m (No. 12)
One atom of each set of equivalent atoms:
Tc 0.0000 0.0000 0.0000 [2 per cell]
Ru 0.2479 0.5000 0.2446 [4 per cell]
Rh 0.0000 0.5000 0.5000 [2 per cell]

## Properties
**Size of the total moment**: 0.0 μB/f.u.
**Crystal system**: monoclinic
**E above lowest polymorph**: 103 meV/atom
**Uncorrected energy**: -9.04 eV per atom
**Calculated formation energy**: 27 meV/atom

(3)
DFT (PBE-GGA) results for a relaxed CuSi2Os2 crystal.

a b c (Å): 4.0248 4.0248 9.6181
angles (deg): 90.00 90.00 90.00
Space group I4/mmm (No. 139)
One atom of each set of equivalent atoms:
Cu 0.0000 0.0000 0.0000 [2 per cell]
Si 0.0000 0.0000 0.3824 [4 per cell]
Os 0.0000 0.5000 0.2500 [4 per cell]

## Properties
**Size of the total moment**: 0.0 μB/f.u.
**ΔE_f (raw)**: 97 meV per atom
**Crystal system**: tetragonal
**E above lowest polymorph**: 220 meV/atom
**Uncorrected energy**: -7.38 eV per atom

(4)
DFT (PBE-GGA) results for a relaxed TbY5Ho5 crystal.

a b c (Å): 6.0699 6.0699 11.4805
angles (deg): 90.00 90.00 120.00
Space group P-6m2 (No. 187)
One atom of each set of equivalent atoms:
Tb 0.0000 0.0000 0.0000 [1 per cell]
Y 0.0000 0.0000 0.3195 [2 per cell]
Y 0.3333 0.6667 0.1593 [2 per cell]
Y 0.6667 0.3333 0.0000 [1 per cell]
Ho 0.0026 0.5013 0.5000 [3 per cell]
Ho 0.6667 0.3333 0.2655 [2 per cell]

## Properties
**Size of the total moment**: 0.0 μB/f.u.
**Crystal system**: hexagonal
**E above lowest polymorph**: 155 meV/atom
**Uncorrected energy**: -5.14 eV per atom
**Calculated formation energy**: 305 meV/atom

(5)
DFT (PBE-GGA) results for a relaxed HfGaMo crystal.

a b c (Å): 5.2824 5.3041 7.5031
angles (deg): 90.00 90.00 90.00
Space group Imma (No. 74)
One atom of each set of equivalent atoms:
Hf 0.0000 0.2500 0.1175 [4 per cell]
Ga 0.0000 0.0000 0.5000 [4 per cell]
Mo 0.2500 0.2500 0.7500 [4 per cell]

## Properties
**Size of the total moment**: 0.0 μB/f.u.
**Crystal system**: orthorhombic
**E above lowest polymorph**: 0 meV/atom
**Uncorrected energy**: -8.27 eV per atom
**Calculated formation energy**: -336 meV/atom

Among the records above, which one has the lowest E above lowest polymorph? HfGaMo

Please write out number 3 again, unchanged.
DFT (PBE-GGA) results for a relaxed CuSi2Os2 crystal.

a b c (Å): 4.0248 4.0248 9.6181
angles (deg): 90.00 90.00 90.00
Space group I4/mmm (No. 139)
One atom of each set of equivalent atoms:
Cu 0.0000 0.0000 0.0000 [2 per cell]
Si 0.0000 0.0000 0.3824 [4 per cell]
Os 0.0000 0.5000 0.2500 [4 per cell]

## Properties
**Size of the total moment**: 0.0 μB/f.u.
**ΔE_f (raw)**: 97 meV per atom
**Crystal system**: tetragonal
**E above lowest polymorph**: 220 meV/atom
**Uncorrected energy**: -7.38 eV per atom